# 1
A plane-wave DFT calculation with PBE was carried out for an optimized crystal structure of LiNpSnHg.

Crystal system: cubic
Energy of formation from the pure elements (kJ/mol of formula units): -23
M_tot (μB/f.u.): 4.2

```
data_LiNpSnHg
_cell_length_a 7.266
_cell_length_b 7.266
_cell_length_c 7.266
_cell_angle_alpha 90.00
_cell_angle_beta 90.00
_cell_angle_gamma 90.00
_space_group_name_H-M_alt 'F -4 3 m'
_space_group_IT_number 216
_space_group_name_Hall 'F -4 2 3'
loop_
_atom_site_label
_atom_site_type_symbol
_atom_site_fract_x
_atom_site_fract_y
_atom_site_fract_z
_atom_site_occupancy
Li1 Li 0.000 0.000 0.000 1
Np1 Np 0.000 0.000 0.500 1
Sn1 Sn 0.250 0.250 0.250 1
Hg1 Hg 0.250 0.250 0.750 1
```



# 2
A plane-wave DFT calculation with PBE was carried out for an optimized crystal structure of Li6Hg2O.

Uncorrected formation energy (meV/atom): -768
Crystal system: tetragonal
M_tot (μB/f.u.): 0.0

```
data_Li6Hg2O
_cell_length_a 5.909
_cell_length_b 5.909
_cell_length_c 8.288
_cell_angle_alpha 90.00
_cell_angle_beta 90.00
_cell_angle_gamma 90.00
_space_group_name_H-M_alt 'I 4/m m m'
_space_group_IT_number 139
_space_group_name_Hall '-I 4 2'
loop_
_atom_site_label
_atom_site_type_symbol
_atom_site_fract_x
_atom_site_fract_y
_atom_site_fract_z
_atom_site_occupancy
Li1 Li 0.000 0.000 0.230 1
Li2 Li 0.227 0.227 0.000 1
Hg1 Hg 0.000 0.500 0.250 1
O1 O 0.000 0.000 0.000 1
```



# 3
A plane-wave DFT calculation with PBE was carried out for an optimized crystal structure of LiHg2O4.

Uncorrected formation energy (meV/atom): -323
Crystal system: tetragonal
M_tot (μB/f.u.): 0.0

```
data_LiHg2O4
_cell_length_a 8.481
_cell_length_b 8.481
_cell_length_c 5.673
_cell_angle_alpha 90.00
_cell_angle_beta 90.00
_cell_angle_gamma 90.00
_space_group_name_H-M_alt 'I -4 2 d'
_space_group_IT_number 122
_space_group_name_Hall 'I -4 2bw'
loop_
_atom_site_label
_atom_site_type_symbol
_atom_site_fract_x
_atom_site_fract_y
_atom_site_fract_z
_atom_site_occupancy
Li1 Li 0.000 0.000 0.000 1
Hg1 Hg 0.109 0.250 0.625 1
O1 O 0.002 0.687 0.038 1
```



# 4
A plane-wave DFT calculation with PBE was carried out for an optimized crystal structure of LiHgO3.

Uncorrected formation energy (meV/atom): 96
Crystal system: cubic
M_tot (μB/f.u.): 3.0

```
data_LiHgO3
_cell_length_a 3.729
_cell_length_b 3.729
_cell_length_c 3.729
_cell_angle_alpha 90.00
_cell_angle_beta 90.00
_cell_angle_gamma 90.00
_space_group_name_H-M_alt 'P m -3 m'
_space_group_IT_number 221
_space_group_name_Hall '-P 4 2 3'
loop_
_atom_site_label
_atom_site_type_symbol
_atom_site_fract_x
_atom_site_fract_y
_atom_site_fract_z
_atom_site_occupancy
Li1 Li 0.000 0.000 0.000 1
Hg1 Hg 0.500 0.500 0.500 1
O1 O 0.000 0.000 0.500 1
```



# 5
A plane-wave DFT calculation with PBE was carried out for an optimized crystal structure of Li3HgO2.

Uncorrected formation energy (meV/atom): -1178
Crystal system: orthorhombic
M_tot (μB/f.u.): 0.5

```
data_Li3HgO2
_cell_length_a 5.354
_cell_length_b 10.084
_cell_length_c 5.539
_cell_angle_alpha 90.00
_cell_angle_beta 90.00
_cell_angle_gamma 90.00
_space_group_name_H-M_alt 'I b a m'
_space_group_IT_number 72
_space_group_name_Hall '-I 2 2c'
loop_
_atom_site_label
_atom_site_type_symbol
_atom_site_fract_x
_atom_site_fract_y
_atom_site_fract_z
_atom_site_occupancy
Li1 Li 0.000 0.000 0.250 1
Li2 Li 0.000 0.244 0.250 1
Hg1 Hg 0.000 0.500 0.000 1
O1 O 0.155 0.144 0.000 1
```



# 6
A plane-wave DFT calculation with PBE was carried out for an optimized crystal structure of Li2HgO.

Uncorrected formation energy (meV/atom): -1229
Crystal system: trigonal
Energy relative to the lowest polymorph listed for this composition (eV/f.u.): 0.01
M_tot (μB/f.u.): 0.0

```
data_Li2HgO
_cell_length_a 3.2008
_cell_length_b 3.2008
_cell_length_c 19.9851
_cell_angle_alpha 90.00
_cell_angle_beta 90.00
_cell_angle_gamma 120.00
_space_group_name_H-M_alt 'R -3 m'
_space_group_IT_number 166
_space_group_name_Hall '-R 3 2"'
loop_
_atom_site_label
_atom_site_type_symbol
_atom_site_fract_x
_atom_site_fract_y
_atom_site_fract_z
_atom_site_occupancy
Li1 Li 0.0000 0.0000 0.2009 1
Hg1 Hg 0.0000 0.0000 0.0000 1
O1 O 0.0000 0.0000 0.5000 1
```



# 7
A plane-wave DFT calculation with PBE was carried out for an optimized crystal structure of Li2HgO.

Uncorrected formation energy (meV/atom): -1232
Crystal system: trigonal
Energy relative to the lowest polymorph listed for this composition (eV/f.u.): 0.00
M_tot (μB/f.u.): 0.0

```
data_Li2HgO
_cell_length_a 3.1845
_cell_length_b 3.1845
_cell_length_c 19.6285
_cell_angle_alpha 90.00
_cell_angle_beta 90.00
_cell_angle_gamma 120.00
_space_group_name_H-M_alt 'R 3 m'
_space_group_IT_number 160
_space_group_name_Hall 'R 3 -2"'
loop_
_atom_site_label
_atom_site_type_symbol
_atom_site_fract_x
_atom_site_fract_y
_atom_site_fract_z
_atom_site_occupancy
Li1 Li 0.0000 0.0000 0.0000 1
Li2 Li 0.0000 0.0000 0.2626 1
Hg1 Hg 0.0000 0.0000 0.4685 1
O1 O 0.0000 0.0000 0.6297 1
```



# 8
A plane-wave DFT calculation with PBE was carried out for an optimized crystal structure of Li2HgO.

Uncorrected formation energy (meV/atom): -1191
Crystal system: tetragonal
Energy relative to the lowest polymorph listed for this composition (eV/f.u.): 0.16
M_tot (μB/f.u.): 0.0

```
data_Li2HgO
_cell_length_a 5.909
_cell_length_b 5.909
_cell_length_c 8.323
_cell_angle_alpha 90.00
_cell_angle_beta 90.00
_cell_angle_gamma 90.00
_space_group_name_H-M_alt 'I -4 2 d'
_space_group_IT_number 122
_space_group_name_Hall 'I -4 2bw'
loop_
_atom_site_label
_atom_site_type_symbol
_atom_site_fract_x
_atom_site_fract_y
_atom_site_fract_z
_atom_site_occupancy
Li1 Li 0.002 0.750 0.125 1
Hg1 Hg 0.000 0.000 0.500 1
O1 O 0.000 0.000 0.000 1
```



# 9
A plane-wave DFT calculation with PBE was carried out for an optimized crystal structure of Li12Hg3O5.

Uncorrected formation energy (meV/atom): -1184
Crystal system: cubic
M_tot (μB/f.u.): 0.0

```
data_Li12Hg3O5
_cell_length_a 13.184
_cell_length_b 13.184
_cell_length_c 13.184
_cell_angle_alpha 90.00
_cell_angle_beta 90.00
_cell_angle_gamma 90.00
_space_group_name_H-M_alt 'I a -3 d'
_space_group_IT_number 230
_space_group_name_Hall '-I 4bd 2c 3'
loop_
_atom_site_label
_atom_site_type_symbol
_atom_site_fract_x
_atom_site_fract_y
_atom_site_fract_z
_atom_site_occupancy
Li1 Li 0.034 0.139 0.954 1
Hg1 Hg 0.000 0.250 0.125 1
O1 O 0.000 0.000 0.000 1
O2 O 0.000 0.250 0.375 1
```



# 10
A plane-wave DFT calculation with PBE was carried out for an optimized crystal structure of Li2HgO.

Uncorrected formation energy (meV/atom): -602
Crystal system: cubic
Energy relative to the lowest polymorph listed for this composition (eV/f.u.): 2.52
M_tot (μB/f.u.): 0.0

```
data_Li2HgO
_cell_length_a 6.078
_cell_length_b 6.078
_cell_length_c 6.078
_cell_angle_alpha 90.00
_cell_angle_beta 90.00
_cell_angle_gamma 90.00
_space_group_name_H-M_alt 'F m -3 m'
_space_group_IT_number 225
_space_group_name_Hall '-F 4 2 3'
loop_
_atom_site_label
_atom_site_type_symbol
_atom_site_fract_x
_atom_site_fract_y
_atom_site_fract_z
_atom_site_occupancy
Li1 Li 0.250 0.250 0.250 1
Hg1 Hg 0.000 0.000 0.000 1
O1 O 0.000 0.000 0.500 1
```



# 11
A plane-wave DFT calculation with PBE was carried out for an optimized crystal structure of LiHgO3.

Uncorrected formation energy (meV/atom): 149
Crystal system: cubic
M_tot (μB/f.u.): 1.2

```
data_LiHgO3
_cell_length_a 4.226
_cell_length_b 4.226
_cell_length_c 4.226
_cell_angle_alpha 90.00
_cell_angle_beta 90.00
_cell_angle_gamma 90.00
_space_group_name_H-M_alt 'P m -3 m'
_space_group_IT_number 221
_space_group_name_Hall '-P 4 2 3'
loop_
_atom_site_label
_atom_site_type_symbol
_atom_site_fract_x
_atom_site_fract_y
_atom_site_fract_z
_atom_site_occupancy
Li1 Li 0.000 0.000 0.000 1
Hg1 Hg 0.500 0.500 0.500 1
O1 O 0.000 0.500 0.500 1
```



# 12
A plane-wave DFT calculation with PBE was carried out for an optimized crystal structure of LiHg3O3.

Uncorrected formation energy (meV/atom): -495
Crystal system: hexagonal
M_tot (μB/f.u.): 0.0

```
data_LiHg3O3
_cell_length_a 7.2165
_cell_length_b 7.2165
_cell_length_c 4.8555
_cell_angle_alpha 90.00
_cell_angle_beta 90.00
_cell_angle_gamma 120.00
_space_group_name_H-M_alt 'P 63/m m c'
_space_group_IT_number 194
_space_group_name_Hall '-P 6c 2c'
loop_
_atom_site_label
_atom_site_type_symbol
_atom_site_fract_x
_atom_site_fract_y
_atom_site_fract_z
_atom_site_occupancy
Li1 Li 0.3333 0.6667 0.2500 1
Hg1 Hg 0.1920 0.3840 0.7500 1
O1 O 0.1818 0.3636 0.2500 1
```



# 13
A plane-wave DFT calculation with PBE was carried out for an optimized crystal structure of Li4HgO3.

Uncorrected formation energy (meV/atom): -1423
Crystal system: monoclinic
M_tot (μB/f.u.): 0.0

```
data_Li4HgO3
_cell_length_a 10.875
_cell_length_b 5.187
_cell_length_c 6.861
_cell_angle_alpha 90.00
_cell_angle_beta 110.23
_cell_angle_gamma 90.00
_space_group_name_H-M_alt 'C 1 c 1'
_space_group_IT_number 9
loop_
_space_group_symop_operation_xyz
'x,y,z'
'x,-y,z+1/2'
'x+1/2,y+1/2,z'
'x+1/2,-y+1/2,z+1/2'
loop_
_atom_site_label
_atom_site_type_symbol
_atom_site_fract_x
_atom_site_fract_y
_atom_site_fract_z
_atom_site_occupancy
Li1 Li 0.000 0.142 0.000 1
Li2 Li 0.247 0.150 0.386 1
Li3 Li 0.322 0.287 0.089 1
Li4 Li 0.381 0.153 0.776 1
Hg1 Hg 0.127 0.380 0.679 1
O1 O 0.182 0.028 0.094 1
O2 O 0.330 0.495 0.842 1
O3 O 0.434 0.017 0.552 1
```



# 14
A plane-wave DFT calculation with PBE was carried out for an optimized crystal structure of Li2HgOsO6.

Uncorrected formation energy (meV/atom): -1090
Crystal system: monoclinic
M_tot (μB/f.u.): 0.0

```
data_Li2HgOsO6
_cell_length_a 10.443
_cell_length_b 5.466
_cell_length_c 4.985
_cell_angle_alpha 90.00
_cell_angle_beta 117.80
_cell_angle_gamma 90.00
_space_group_name_H-M_alt 'C 1 2/m 1'
_space_group_IT_number 12
loop_
_space_group_symop_operation_xyz
'x,y,z'
'-x,-y,-z'
'-x,y,-z'
'x,-y,z'
'x+1/2,y+1/2,z'
'-x+1/2,-y+1/2,-z'
'-x+1/2,y+1/2,-z'
'x+1/2,-y+1/2,z'
loop_
_atom_site_label
_atom_site_type_symbol
_atom_site_fract_x
_atom_site_fract_y
_atom_site_fract_z
_atom_site_occupancy
Li1 Li 0.242 0.000 0.143 1
Hg1 Hg 0.000 0.500 0.000 1
Os1 Os 0.000 0.000 0.500 1
O1 O 0.101 0.244 0.799 1
O2 O 0.147 0.000 0.402 1
```



# 15
A plane-wave DFT calculation with PBE was carried out for an optimized crystal structure of LiHgOs2O8.

Uncorrected formation energy (meV/atom): -984
Crystal system: monoclinic
M_tot (μB/f.u.): 1.1

```
data_LiHgOs2O8
_cell_length_a 12.863
_cell_length_b 5.766
_cell_length_c 7.786
_cell_angle_alpha 90.00
_cell_angle_beta 116.91
_cell_angle_gamma 90.00
_space_group_name_H-M_alt 'C 1 2/m 1'
_space_group_IT_number 12
loop_
_space_group_symop_operation_xyz
'x,y,z'
'-x,-y,-z'
'-x,y,-z'
'x,-y,z'
'x+1/2,y+1/2,z'
'-x+1/2,-y+1/2,-z'
'-x+1/2,y+1/2,-z'
'x+1/2,-y+1/2,z'
loop_
_atom_site_label
_atom_site_type_symbol
_atom_site_fract_x
_atom_site_fract_y
_atom_site_fract_z
_atom_site_occupancy
Li1 Li 0.000 0.000 0.000 1
Hg1 Hg 0.000 0.500 0.500 1
Os1 Os 0.190 0.500 0.165 1
O1 O 0.111 0.254 0.168 1
O2 O 0.173 0.000 0.637 1
O3 O 0.208 0.500 0.957 1
```



# 16
A plane-wave DFT calculation with PBE was carried out for an optimized crystal structure of Li2Hg2OsO6.

Uncorrected formation energy (meV/atom): -960
Crystal system: monoclinic
M_tot (μB/f.u.): 0.0

```
data_Li2Hg2OsO6
_cell_length_a 5.397
_cell_length_b 8.936
_cell_length_c 6.210
_cell_angle_alpha 90.00
_cell_angle_beta 108.59
_cell_angle_gamma 90.00
_space_group_name_H-M_alt 'C 1 2/m 1'
_space_group_IT_number 12
loop_
_space_group_symop_operation_xyz
'x,y,z'
'-x,-y,-z'
'-x,y,-z'
'x,-y,z'
'x+1/2,y+1/2,z'
'-x+1/2,-y+1/2,-z'
'-x+1/2,y+1/2,-z'
'x+1/2,-y+1/2,z'
loop_
_atom_site_label
_atom_site_type_symbol
_atom_site_fract_x
_atom_site_fract_y
_atom_site_fract_z
_atom_site_occupancy
Li1 Li 0.000 0.164 0.000 1
Hg1 Hg 0.000 0.190 0.500 1
Os1 Os 0.000 0.500 0.000 1
O1 O 0.102 0.350 0.834 1
O2 O 0.141 0.000 0.792 1
```



# 17
A plane-wave DFT calculation with PBE was carried out for an optimized crystal structure of Li2HgPO4.

Uncorrected formation energy (meV/atom): -1826
Crystal system: tetragonal
M_tot (μB/f.u.): 0.0

```
data_Li2HgPO4
_cell_length_a 5.116
_cell_length_b 5.116
_cell_length_c 7.561
_cell_angle_alpha 90.00
_cell_angle_beta 90.00
_cell_angle_gamma 90.00
_space_group_name_H-M_alt 'I -4 2 m'
_space_group_IT_number 121
_space_group_name_Hall 'I -4 2'
loop_
_atom_site_label
_atom_site_type_symbol
_atom_site_fract_x
_atom_site_fract_y
_atom_site_fract_z
_atom_site_occupancy
Li1 Li 0.000 0.500 0.250 1
Hg1 Hg 0.000 0.000 0.000 1
P1 P 0.000 0.000 0.500 1
O1 O 0.173 0.173 0.375 1
```



# 18
A plane-wave DFT calculation with PBE was carried out for an optimized crystal structure of Li2HgP2O7.

Uncorrected formation energy (meV/atom): -1936
Crystal system: trigonal
M_tot (μB/f.u.): 0.0

```
data_Li2HgP2O7
_cell_length_a 5.2259
_cell_length_b 5.2259
_cell_length_c 21.1664
_cell_angle_alpha 90.00
_cell_angle_beta 90.00
_cell_angle_gamma 120.00
_space_group_name_H-M_alt 'R 3 2'
_space_group_IT_number 155
_space_group_name_Hall 'R 3 2"'
loop_
_atom_site_label
_atom_site_type_symbol
_atom_site_fract_x
_atom_site_fract_y
_atom_site_fract_z
_atom_site_occupancy
Li1 Li 0.0000 0.0000 0.2477 1
Hg1 Hg 0.0000 0.0000 0.5000 1
P1 P 0.0000 0.0000 0.0756 1
O1 O 0.0000 0.0000 0.0000 1
O2 O 0.0031 0.2843 0.9047 1
```